Compound: CsSr2YI8
Source: Alexandria
Functional: PBE-GGA
Structure: optimized geometry

Uncorrected formation energy in meV per atom: -1528
Calculated volume in Å³ per cell: 604
SG: P-1
Size of the total moment in μB per formula unit: 0.00
D(E_F) in states/eV per cell: 0.00
VASP energy in eV/cell: -41.42

```
data_CsSr2YI8
_chemical_formula_sum 'Cs1 Sr2 Y1 I8'
_space_group_name_H-M_alt 'P 1'
_space_group_IT_number 1
_space_group_name_Hall 'P 1'
_cell_length_a 7.828
_cell_length_b 7.493
_cell_length_c 10.303
_cell_angle_alpha 89.90
_cell_angle_beta 89.95
_cell_angle_gamma 89.52
loop_
_atom_site_label
_atom_site_fract_x
_atom_site_fract_y
_atom_site_fract_z
I1 0.606 0.739 0.500
I2 0.157 0.759 0.796
I3 0.156 0.758 0.204
I4 0.844 0.242 0.796
I5 0.325 0.246 0.000
I6 0.675 0.754 0.000
I7 0.394 0.261 0.500
I8 0.843 0.241 0.204
Sr1 0.500 0.500 0.752
Sr2 0.500 0.500 0.248
Cs1 0.000 0.000 0.500
Y1 0.000 0.000 0.000
```